No. 1
DFT (GGA-PBE) results for crystalline Ti6SiGe2 at its relaxed geometry.

The structure in extended XYZ format:
```
9
Lattice="6.922 0.000 0.000 -3.461 5.994 0.000 0.000 0.000 3.514" Properties=species:S:1:pos:R:3 pbc="T T T"
Ti -1.379 2.388 0.000
Ti -2.581 4.470 1.757
Ti 0.880 1.524 1.757
Ti 2.758 0.000 0.000
Ti 2.082 3.606 0.000
Ti 5.162 0.000 1.757
Si 0.000 0.000 0.000
Ge 0.000 3.996 1.757
Ge 3.461 1.998 1.757
```

Properties
- ΔE_f (raw): -658 meV per atom

---

No. 2
DFT (GGA-PBE) results for crystalline TiSiGe3 at its relaxed geometry.

The structure in extended XYZ format:
```
5
Lattice="4.889 0.000 0.000 0.000 4.889 0.000 0.000 0.000 4.889" Properties=species:S:1:pos:R:3 pbc="T T T"
Ti 0.000 0.000 0.000
Si 2.445 2.445 2.445
Ge 0.000 0.000 2.445
Ge 0.000 2.445 0.000
Ge 2.445 0.000 0.000
```

Properties
- ΔE_f (raw): 640 meV per atom

---

No. 3
DFT (GGA-PBE) results for crystalline TiSiGe3 at its relaxed geometry.

The structure in extended XYZ format:
```
5
Lattice="4.721 0.000 0.000 0.000 4.721 0.000 0.000 0.000 4.721" Properties=species:S:1:pos:R:3 pbc="T T T"
Ti 0.000 0.000 0.000
Si 2.360 2.360 2.360
Ge 0.000 2.360 2.360
Ge 2.360 0.000 2.360
Ge 2.360 2.360 0.000
```

Properties
- ΔE_f (raw): 804 meV per atom

---

No. 4
DFT (GGA-PBE) results for crystalline Ti12SiGe6 at its relaxed geometry.

The structure in extended XYZ format:
```
19
Lattice="5.381 3.107 3.471 -5.381 3.107 3.471 0.000 -6.214 3.471" Properties=species:S:1:pos:R:3 pbc="T T T"
Ti -1.757 0.637 1.463
Ti 0.327 -1.840 1.463
Ti -1.242 -1.507 4.095
Ti 1.430 1.203 1.463
Ti -0.685 1.829 4.095
Ti -1.926 0.322 6.319
Ti 1.926 -0.322 4.095
Ti 0.685 -1.829 6.319
Ti -1.430 -1.203 8.951
Ti 1.242 1.507 6.319
Ti -0.327 1.840 8.951
Ti 1.757 -0.637 8.951
Si 0.000 0.000 0.000
Ge -2.886 0.508 3.799
Ge 1.003 -2.753 3.799
Ge -1.883 -2.245 6.615
Ge 1.883 2.245 3.799
Ge -1.003 2.753 6.615
Ge 2.886 -0.508 6.615
```

Properties
- ΔE_f (raw): -201 meV per atom

---

no.,M_tot (μB per atom),calculated density (g/cm3),energy (eV per cell)
1,0.0000,5.2,-67.95
2,0.0000,4.2,-23.97
3,0.0003,4.6,-23.15
4,0.0000,5.0,-131.69